The following is a PBE calculation of an optimized crystal structure of SrTiI2Cl, from Alexandria via LeMat-Bulk.

Cell and atoms, written as extended XYZ:
```
5
Lattice="5.3205 0.0000 0.0000 0.0000 5.3205 0.0000 0.0000 0.0000 6.8500" Properties=species:S:1:pos:R:3 pbc="T T T"
Sr 0.0000 0.0000 0.0000
Ti 0.0000 0.0000 3.4250
I 0.0000 2.6603 3.4250
I 2.6603 0.0000 3.4250
Cl 2.6603 2.6603 0.0000
```

The density of states at the Fermi level is 2.515 states/eV per cell. As for the formation energy (no corrections): -667 meV/atom.